A geometry-optimized YCoW2O8 structure, computed with GGA+U.

Cell: 5.061 5.803 6.032 Å, 108.65 90.42 110.38°
Sites, in units of the cell vectors:
O 0.720 0.720 0.951
O 0.768 0.213 0.762
O 0.280 0.280 0.049
O 0.855 0.276 0.332
O 0.656 0.695 0.470
O 0.145 0.724 0.668
O 0.344 0.305 0.530
O 0.232 0.787 0.238
Co 0.000 0.000 0.500
W 0.251 0.513 0.331
W 0.749 0.487 0.669
Y 0.500 0.000 0.000

relative energy among the computed polymorphs = 86 meV/atom
N(E_F) = 0.84 states/eV per cell
crystal system = triclinic
total DFT energy (no corrections) = -7.575 eV per atom